A geometry-optimized TePW2 structure, computed with PBE.

Cell and atoms, written as CIF:
```
data_TePW2
_symmetry_space_group_name_H-M 'I -4 m 2'
_symmetry_Int_Tables_number 119
_symmetry_space_group_name_Hall 'I -4 -2'
_cell_length_a 4.1927
_cell_length_b 4.1927
_cell_length_c 7.7400
_cell_angle_alpha 90.00
_cell_angle_beta 90.00
_cell_angle_gamma 90.00
loop_
_atom_site_label
_atom_site_type_symbol
_atom_site_fract_x
_atom_site_fract_y
_atom_site_fract_z
Te1 Te 0.0000 0.0000 0.0000
P1 P 0.0000 0.5000 0.2500
W1 W 0.0000 0.0000 0.5000
W2 W 0.0000 0.5000 0.7500
```

Properties
* formation energy (no corrections): 751 meV per atom
* E above lowest polymorph: 566 meV/atom

=====

A geometry-optimized AcN4 structure, computed with PBE.

Cell and atoms, written as CIF:
```
data_AcN4
_symmetry_space_group_name_H-M 'P -1'
_symmetry_Int_Tables_number 2
_cell_length_a 4.1013
_cell_length_b 6.2981
_cell_length_c 7.1189
_cell_angle_alpha 63.79
_cell_angle_beta 77.98
_cell_angle_gamma 89.99
loop_
_symmetry_equiv_pos_as_xyz
'x,y,z'
'-x,-y,-z'
loop_
_atom_site_label
_atom_site_type_symbol
_atom_site_fract_x
_atom_site_fract_y
_atom_site_fract_z
Ac1 Ac 0.1708 0.1623 0.1756
N1 N 0.2125 0.5959 0.1146
N2 N 0.2125 0.7895 0.1143
N3 N 0.3697 0.1683 0.5635
N4 N 0.3696 0.7695 0.5624
```

Properties
* formation energy (no corrections): -337 meV per atom
* E above lowest polymorph: 0 meV/atom

=====

A geometry-optimized Li2ScInH structure, computed with PBE.

Cell and atoms, written as CIF:
```
data_Li2ScInH
_symmetry_space_group_name_H-M 'P 4/m m m'
_symmetry_Int_Tables_number 123
_symmetry_space_group_name_Hall '-P 4 2'
_cell_length_a 4.1814
_cell_length_b 4.1814
_cell_length_c 4.5463
_cell_angle_alpha 90.00
_cell_angle_beta 90.00
_cell_angle_gamma 90.00
loop_
_atom_site_label
_atom_site_type_symbol
_atom_site_fract_x
_atom_site_fract_y
_atom_site_fract_z
Li1 Li 0.0000 0.5000 0.0000
Sc1 Sc 0.0000 0.0000 0.5000
In1 In 0.5000 0.5000 0.5000
H1 H 0.0000 0.0000 0.0000
```

Properties
* energy: -17.83 eV for the cell shown

=====

A geometry-optimized BaTiSi2 structure, computed with PBE.

Cell and atoms, written as CIF:
```
data_BaTiSi2
_symmetry_space_group_name_H-M 'I 41/a m d'
_symmetry_Int_Tables_number 141
_cell_length_a 5.2810
_cell_length_b 5.2810
_cell_length_c 16.7834
_cell_angle_alpha 90.00
_cell_angle_beta 90.00
_cell_angle_gamma 90.00
loop_
_symmetry_equiv_pos_as_xyz
'x,y,z'
'-x,-y,-z'
'-y+1/4,x+3/4,z+1/4'
'y+1/4,-x+3/4,-z+1/4'
'-x+1/2,-y,z+1/2'
'x+1/2,y,-z+1/2'
'y+1/4,-x+1/4,z+3/4'
'-y+1/4,x+1/4,-z+3/4'
'x,-y,-z'
'-x,y,z'
'-y+1/4,-x+1/4,-z+3/4'
'y+1/4,x+1/4,z+3/4'
'-x+1/2,y,-z+1/2'
'x+1/2,-y,z+1/2'
'y+1/4,x+3/4,-z+1/4'
'-y+1/4,-x+3/4,z+1/4'
'x+1/2,y+1/2,z+1/2'
'-x+1/2,-y+1/2,-z+1/2'
'-y+3/4,x+1/4,z+3/4'
'y+3/4,-x+1/4,-z+3/4'
'-x,-y+1/2,z'
'x,y+1/2,-z'
'y+3/4,-x+3/4,z+1/4'
'-y+3/4,x+3/4,-z+1/4'
'x+1/2,-y+1/2,-z+1/2'
'-x+1/2,y+1/2,z+1/2'
'-y+3/4,-x+3/4,-z+1/4'
'y+3/4,x+3/4,z+1/4'
'-x,y+1/2,-z'
'x,-y+1/2,z'
'y+3/4,x+1/4,-z+3/4'
'-y+3/4,-x+1/4,z+3/4'
loop_
_atom_site_label
_atom_site_type_symbol
_atom_site_fract_x
_atom_site_fract_y
_atom_site_fract_z
Ba1 Ba 0.0000 0.2500 0.3750
Ti1 Ti 0.0000 0.2500 0.8750
Si1 Si 0.0000 0.0000 0.0000
```

Properties
* formation energy (no corrections): -41 meV per atom
* E above lowest polymorph: 0 meV/atom

=====

A geometry-optimized Y2Ho6TmSc structure, computed with PBE.

Cell and atoms, written as CIF:
```
data_Y2Ho6TmSc
_symmetry_space_group_name_H-M 'C 1 2/c 1'
_symmetry_Int_Tables_number 15
_cell_length_a 9.1875
_cell_length_b 15.5884
_cell_length_c 8.6639
_cell_angle_alpha 90.00
_cell_angle_beta 92.50
_cell_angle_gamma 90.00
loop_
_symmetry_equiv_pos_as_xyz
'x,y,z'
'-x,-y,-z'
'-x,y,-z+1/2'
'x,-y,z+1/2'
'x+1/2,y+1/2,z'
'-x+1/2,-y+1/2,-z'
'-x+1/2,y+1/2,-z+1/2'
'x+1/2,-y+1/2,z+1/2'
loop_
_atom_site_label
_atom_site_type_symbol
_atom_site_fract_x
_atom_site_fract_y
_atom_site_fract_z
Y1 Y 0.2379 0.0515 0.4460
Ho1 Ho 0.0448 0.3350 0.9461
Ho2 Ho 0.0976 0.1338 0.0907
Ho3 Ho 0.2477 0.2086 0.7023
Tm1 Tm 0.0000 0.4636 0.2500
Sc1 Sc 0.0000 0.0582 0.7500
```

Properties
* formation energy: 0.132 eV/atom

=====

A geometry-optimized Li5ZnGe structure, computed with PBE.

Cell and atoms, written as CIF:
```
data_Li5ZnGe
_symmetry_space_group_name_H-M 'I m m 2'
_symmetry_Int_Tables_number 44
_cell_length_a 5.9208
_cell_length_b 10.2205
_cell_length_c 5.0884
_cell_angle_alpha 90.00
_cell_angle_beta 90.00
_cell_angle_gamma 90.00
loop_
_symmetry_equiv_pos_as_xyz
'x,y,z'
'-x,-y,z'
'-x,y,z'
'x,-y,z'
'x+1/2,y+1/2,z+1/2'
'-x+1/2,-y+1/2,z+1/2'
'-x+1/2,y+1/2,z+1/2'
'x+1/2,-y+1/2,z+1/2'
loop_
_atom_site_label
_atom_site_type_symbol
_atom_site_fract_x
_atom_site_fract_y
_atom_site_fract_z
Li1 Li 0.0000 0.0000 0.0000
Li2 Li 0.0000 0.2546 0.3829
Li3 Li 0.1783 0.5000 0.7841
Zn1 Zn 0.0000 0.0000 0.5428
Ge1 Ge 0.0000 0.5000 0.2810
```

Properties
* formation energy: 0.140 eV/atom

=====

A geometry-optimized PmPr6HoTm2 structure, computed with PBE.

Cell and atoms, written as CIF:
```
data_PmPr6HoTm2
_symmetry_space_group_name_H-M 'C 1 2/c 1'
_symmetry_Int_Tables_number 15
_cell_length_a 9.3877
_cell_length_b 15.3451
_cell_length_c 9.6696
_cell_angle_alpha 90.00
_cell_angle_beta 96.94
_cell_angle_gamma 90.00
loop_
_symmetry_equiv_pos_as_xyz
'x,y,z'
'-x,-y,-z'
'-x,y,-z+1/2'
'x,-y,z+1/2'
'x+1/2,y+1/2,z'
'-x+1/2,-y+1/2,-z'
'-x+1/2,y+1/2,-z+1/2'
'x+1/2,-y+1/2,z+1/2'
loop_
_atom_site_label
_atom_site_type_symbol
_atom_site_fract_x
_atom_site_fract_y
_atom_site_fract_z
Pm1 Pm 0.0000 0.0301 0.2500
Pr1 Pr 0.0618 0.1752 0.9448
Pr2 Pr 0.0954 0.3900 0.1167
Pr3 Pr 0.2171 0.2220 0.3126
Ho1 Ho 0.0000 0.4121 0.7500
Tm1 Tm 0.2503 0.0480 0.5490
```

Properties
* formation energy: 0.113 eV/atom

=====

A geometry-optimized LiTbPm structure, computed with PBE.

Cell and atoms, written as CIF:
```
data_LiTbPm
_symmetry_space_group_name_H-M 'C 1 2/m 1'
_symmetry_Int_Tables_number 12
_cell_length_a 5.1832
_cell_length_b 5.1834
_cell_length_c 12.8197
_cell_angle_alpha 90.00
_cell_angle_beta 90.08
_cell_angle_gamma 90.00
loop_
_symmetry_equiv_pos_as_xyz
'x,y,z'
'-x,-y,-z'
'-x,y,-z'
'x,-y,z'
'x+1/2,y+1/2,z'
'-x+1/2,-y+1/2,-z'
'-x+1/2,y+1/2,-z'
'x+1/2,-y+1/2,z'
loop_
_atom_site_label
_atom_site_type_symbol
_atom_site_fract_x
_atom_site_fract_y
_atom_site_fract_z
Li1 Li 0.2494 0.0000 0.0507
Tb1 Tb 0.2492 0.5000 0.2115
Pm1 Pm 0.2498 0.0000 0.3984
```

Properties
* formation energy: 0.052 eV/atom
* E above lowest polymorph: 0 meV/atom

=====

V values (in Å³ per atom) by entry order: 17.0 16.0 15.9 29.3 31.0 22.0 34.6 28.7.